1.
Computed, not measured: a relaxed structure of PPdAuO at the PBE-GGA level of DFT.

Lattice parameters (Å, degrees): 3.3763 5.8665 6.5511 90.00 90.00 90.00
Last column: nearest neighbours and their distance in Å.
Fractional coordinates of all 8 atoms:
O 0.5000 0.6951 0.7917  2 Pd 2.01-2.04
O 0.5000 0.3049 0.2917  2 Pd 2.01-2.04
P 0.0000 0.7903 0.3997  2 Au 2.31-2.43, 2 Pd 2.33
P 0.0000 0.2097 0.8997  2 Au 2.31-2.43, 2 Pd 2.33
Pd 0.5000 0.5493 0.5139  2 O 2.01-2.04
Pd 0.5000 0.4507 0.0139  2 O 2.01-2.04
Au 0.0000 0.8313 0.0487  2 P 2.31-2.43, 2 O 2.51
Au 0.0000 0.1687 0.5487  2 P 2.31-2.43, 2 O 2.51

## Properties
- Polymorph energy (0 for the lowest one): 0.0 meV/atom

2.
Computed, not measured: a relaxed structure of CdBiAu2 at the PBE-GGA level of DFT.

Lattice parameters (Å, degrees): 5.0082 5.0082 5.0082 60.00 60.00 60.00
Last column: nearest neighbours and their distance in Å.
Fractional coordinates of all 4 atoms:
Au 0.7500 0.7500 0.7500  4 Bi 3.07, 4 Au 3.07
Au 0.0000 0.0000 0.0000  4 Au 3.07, 4 Cd 3.07
Bi 0.5000 0.5000 0.5000  4 Au 3.07, 4 Cd 3.07
Cd 0.2500 0.2500 0.2500  4 Bi 3.07, 4 Au 3.07

## Properties
- Uncorrected energy: -2.76 eV per atom